DFT (PBE) results for a geometry-optimized K2UAs2Se6 structure.

* E_form (uncorrected): -0.736 eV per atom
* uncorrected energy: -4.708 eV/atom
* magnetic moment: 2.0 Bohr magnetons per cell
* DOS(E_F): 0.7664 states/eV per atom
* ρ: 4661 kg/m³

Cell lengths 7.044, 7.044, 8.206 Å; angles 98.35, 98.35, 120.65 degrees
Sites, in units of the cell vectors:
K: 0.164 0.836 0.000
K: 0.836 0.164 0.000
U: 0.000 0.000 0.500
As: 0.329 0.671 0.500
As: 0.671 0.329 0.500
Se: 0.063 0.409 0.691
Se: 0.275 0.275 0.308
Se: 0.409 0.063 0.691
Se: 0.591 0.937 0.309
Se: 0.725 0.725 0.692
Se: 0.937 0.591 0.309

=====

DFT (PBE) results for a geometry-optimized NbVSiTc structure.

* E_form (uncorrected): -0.333 eV per atom
* uncorrected energy: -9.077 eV/atom
* magnetic moment: 2.2 Bohr magnetons per cell
* DOS(E_F): 0.6960 states/eV per atom
* ρ: 7608 kg/m³

Cell lengths 4.368, 4.368, 4.368 Å; angles 60.00, 60.00, 60.00 degrees
Sites, in units of the cell vectors:
Nb: 0.000 0.000 0.000
V: 0.750 0.750 0.750
Si: 0.500 0.500 0.500
Tc: 0.250 0.250 0.250

=====

DFT (PBE) results for a geometry-optimized LiSc2Al2 structure.

* uncorrected energy: -4.656 eV/atom
* ΔE_f: -0.2432 eV per atom
* magnetic moment: 0.0 Bohr magnetons per cell
* energy relative to the lowest polymorph listed for this composition: 0.0 kJ per mole of atoms
* DOS(E_F): 0.6224 states/eV per atom
* ρ: 2474 kg/m³

Cell lengths 6.869, 6.869, 4.291 Å; angles 90.00, 90.00, 90.00 degrees
Sites, in units of the cell vectors:
Li: 0.000 0.000 0.000
Li: 0.500 0.500 0.000
Sc: 0.163 0.337 0.500
Sc: 0.337 0.837 0.500
Sc: 0.663 0.163 0.500
Sc: 0.837 0.663 0.500
Al: 0.137 0.637 0.000
Al: 0.363 0.137 0.000
Al: 0.637 0.863 0.000
Al: 0.863 0.363 0.000

=====

DFT (PBE) results for a geometry-optimized Na3NbTl structure.

* uncorrected energy: -2.169 eV/atom
* ΔE_f: 1.1096 eV per atom
* magnetic moment: 3.9 Bohr magnetons per cell
* energy relative to the lowest polymorph listed for this composition: 0.0 kJ per mole of atoms
* DOS(E_F): 1.0356 states/eV per atom
* ρ: 3329 kg/m³

Cell lengths 5.674, 5.674, 5.674 Å; angles 90.00, 90.00, 90.00 degrees
Sites, in units of the cell vectors:
Na: 0.000 0.000 0.500
Na: 0.000 0.500 0.000
Na: 0.500 0.000 0.000
Nb: 0.500 0.500 0.500
Tl: 0.000 0.000 0.000

=====

DFT (PBE) results for a geometry-optimized KMoH2Cl8 structure.

* uncorrected energy: -3.696 eV/atom
* magnetic moment: 1.0 Bohr magnetons per cell
* DOS(E_F): 0.3911 states/eV per atom
* ρ: 1904 kg/m³

Cell lengths 6.764, 7.376, 7.823 Å; angles 70.95, 85.79, 84.54 degrees
Sites, in units of the cell vectors:
K: 0.000 0.000 0.000
Mo: 0.000 0.500 0.500
H: 0.304 0.300 0.167
H: 0.696 0.700 0.833
Cl: 0.162 0.562 0.204
Cl: 0.166 0.190 0.592
Cl: 0.259 0.619 0.593
Cl: 0.383 0.144 0.134
Cl: 0.617 0.856 0.866
Cl: 0.741 0.381 0.407
Cl: 0.834 0.810 0.408
Cl: 0.838 0.438 0.796

=====

DFT (PBE) results for a geometry-optimized Li10AcIn structure.

* uncorrected energy: -2.125 eV/atom
* ΔE_f: 0.0403 eV per atom
* magnetic moment: 0.0 Bohr magnetons per cell
* DOS(E_F): 0.5962 states/eV per atom
* ρ: 2572 kg/m³

Cell lengths 4.841, 5.571, 9.843 Å; angles 90.00, 90.00, 90.00 degrees
Sites, in units of the cell vectors:
Li: 0.000 0.000 0.000
Li: 0.000 0.237 0.274
Li: 0.000 0.237 0.726
Li: 0.000 0.500 0.500
Li: 0.000 0.763 0.274
Li: 0.000 0.763 0.726
Li: 0.500 0.000 0.205
Li: 0.500 0.000 0.795
Li: 0.500 0.500 0.357
Li: 0.500 0.500 0.643
Ac: 0.500 0.500 0.000
In: 0.500 0.000 0.500